PmCu2Rh (PBE, relaxed); space-group type = Fm-3m (225); E_form = -0.151 eV/atom; uncorrected energy = -5.2244 eV per atom; ΔE to the lowest computed polymorph = 95 meV per atom; total magnetic moment = 0.00 μB per atom
1.0
0.0000 3.2513 3.2513
3.2513 0.0000 3.2513
3.2513 3.2513 0.0000
Pm Cu Rh
1 2 1
Direct
0.0000 0.0000 0.0000
0.2500 0.2500 0.2500
0.7500 0.7500 0.7500
0.5000 0.5000 0.5000


CePmDyHg (PBE, relaxed); space-group type = F-43m (216); E_form = -0.012 eV/atom; uncorrected energy = -3.9094 eV per atom; total magnetic moment = 0.45 μB per atom
1.0
0.0000 3.8516 3.8516
3.8516 0.0000 3.8516
3.8516 3.8516 0.0000
Ce Pm Dy Hg
1 1 1 1
Direct
0.0000 0.0000 0.0000
0.7500 0.7500 0.7500
0.5000 0.5000 0.5000
0.2500 0.2500 0.2500


SnIrN2O (PBE, relaxed); ΔE_f (raw) = 0.482 eV per atom; space-group type = P4/mmm (123); uncorrected energy = -6.4125 eV per atom; total magnetic moment = 0.00 μB per atom
1.0
3.8359 0.0000 0.0000
0.0000 3.8359 0.0000
0.0000 0.0000 4.3935
Sn Ir N O
1 1 2 1
Direct
0.0000 0.0000 0.0000
0.5000 0.5000 0.5000
0.0000 0.5000 0.5000
0.5000 0.0000 0.5000
0.5000 0.5000 0.0000


Sm2HfGe3Pt4 (PBE, relaxed); space-group type = P-4m2 (115); E_form = -0.956 eV/atom; uncorrected energy = -6.6964 eV per atom; total magnetic moment = 0.00 μB per atom
1.0
4.2148 0.0000 0.0000
0.0000 4.2148 0.0000
0.0000 0.0000 11.1370
Sm Hf Ge Pt
2 1 3 4
Direct
0.0000 0.5000 0.2266
0.5000 0.0000 0.7734
0.0000 0.0000 0.5000
0.0000 0.5000 0.8669
0.5000 0.0000 0.1331
0.5000 0.5000 0.5000
0.0000 0.0000 0.0000
0.0000 0.5000 0.6452
0.5000 0.0000 0.3548
0.5000 0.5000 0.0000


Li2Nd2TmGa2 (PBE, relaxed); space-group type = R-3m (166); E_form = -0.280 eV/atom; uncorrected energy = -3.6928 eV per atom; total magnetic moment = 0.00 μB per atom
1.0
2.3031 1.3297 9.0002
-2.3031 1.3297 9.0002
0.0000 -2.6594 9.0002
Li Nd Tm Ga
2 2 1 2
Direct
0.1124 0.1124 0.1124
0.8876 0.8876 0.8876
0.3754 0.3754 0.3754
0.6246 0.6246 0.6246
0.5000 0.5000 0.5000
0.2320 0.2320 0.2320
0.7680 0.7680 0.7680


LiSc2ZnGe (PBE, relaxed); space-group type = P4/mmm (123); E_form = 0.115 eV/atom; uncorrected energy = -3.9786 eV per atom; total magnetic moment = 0.00 μB per atom
1.0
5.1551 0.0000 0.0000
0.0000 5.1551 0.0000
0.0000 0.0000 4.7101
Li Sc Zn Ge
1 2 1 1
Direct
0.0000 0.0000 0.0000
0.0000 0.5000 0.5000
0.5000 0.0000 0.5000
0.5000 0.5000 0.0000
0.5000 0.5000 0.5000


Ho2Cu2SbRh5 (PBE, relaxed); ΔE_f (raw) = -0.565 eV per atom; space-group type = P4/mbm (127); uncorrected energy = -6.3875 eV per atom; total magnetic moment = 0.00 μB per atom
1.0
9.3798 0.0000 0.0000
0.0000 9.3798 0.0000
0.0000 0.0000 3.8051
Ho Cu Sb Rh
4 4 2 10
Direct
0.1731 0.3269 0.0000
0.3269 0.8269 0.0000
0.6731 0.1731 0.0000
0.8269 0.6731 0.0000
0.1230 0.6230 0.0000
0.3770 0.1230 0.0000
0.6230 0.8770 0.0000
0.8770 0.3770 0.0000
0.0000 0.0000 0.0000
0.5000 0.5000 0.0000
0.0000 0.5000 0.5000
0.0704 0.7923 0.5000
0.2077 0.0704 0.5000
0.2923 0.5704 0.5000
0.4296 0.2923 0.5000
0.5000 0.0000 0.5000
0.5704 0.7077 0.5000
0.7077 0.4296 0.5000
0.7923 0.9296 0.5000
0.9296 0.2077 0.5000


Tl3ReIr (PBE, relaxed); space-group type = Pm-3m (221); E_form = 1.338 eV/atom; uncorrected energy = -4.3438 eV per atom; ΔE to the lowest computed polymorph = 0 meV per atom; total magnetic moment = 0.85 μB per atom
1.0
5.2677 0.0000 0.0000
0.0000 5.2677 0.0000
0.0000 0.0000 5.2677
Tl Re Ir
3 1 1
Direct
0.0000 0.0000 0.5000
0.0000 0.5000 0.0000
0.5000 0.0000 0.0000
0.5000 0.5000 0.5000
0.0000 0.0000 0.0000


K3Ta2Ag3S8 (PBE, relaxed); ΔE_f (raw) = -0.915 eV per atom; space-group type = C2/c (15); uncorrected energy = -5.2004 eV per atom; total magnetic moment = 0.00 μB per atom
1.0
12.5343 -3.0091 0.0000
12.5343 3.0091 0.0000
-6.4768 0.0000 12.3574
K Ta Ag S
6 4 6 16
Direct
0.0000 0.0000 0.0000
0.0000 0.0000 0.5000
0.1837 0.4178 0.8900
0.4178 0.1837 0.3900
0.5822 0.8163 0.6100
0.8163 0.5822 0.1100
0.1964 0.5496 0.2201
0.4504 0.8036 0.2799
0.5496 0.1964 0.7201
0.8036 0.4504 0.7799
0.0475 0.6965 0.7090
0.3035 0.9525 0.7910
0.3348 0.6652 0.2500
0.6652 0.3348 0.7500
0.6965 0.0475 0.2090
0.9525 0.3035 0.2910
0.0239 0.7870 0.1151
0.0586 0.2592 0.6831
0.2130 0.9761 0.3849
0.2592 0.0586 0.1831
0.2603 0.3238 0.6061
0.3238 0.2603 0.1061
0.4058 0.4933 0.8460
0.4933 0.4058 0.3460
0.5067 0.5942 0.6540
0.5942 0.5067 0.1540
0.6762 0.7397 0.8939
0.7397 0.6762 0.3939
0.7408 0.9414 0.8169
0.7870 0.0239 0.6151
0.9414 0.7408 0.3169
0.9761 0.2130 0.8849


K2CaAl (PBE, relaxed); space-group type = Cm (8); E_form = 0.221 eV/atom; uncorrected energy = -1.7639 eV per atom; total magnetic moment = 0.00 μB per atom
1.0
5.5874 -1.9881 0.0000
5.5874 1.9881 0.0000
-2.9002 0.0000 9.1113
K Ca Al
2 1 1
Direct
0.0000 0.0000 0.0000
0.1652 0.1652 0.6346
0.8106 0.8106 0.3174
0.5302 0.5302 0.3172


CeYOsI (PBE, relaxed); ΔE_f (raw) = -0.579 eV per atom; space-group type = R3m (160); uncorrected energy = -6.8731 eV per atom; total magnetic moment = 0.05 μB per atom
1.0
2.0493 1.1832 7.9675
-2.0493 1.1832 7.9675
0.0000 -2.3663 7.9675
Ce Y Os I
1 1 1 1
Direct
0.0000 0.0000 0.0000
0.7879 0.7879 0.7879
0.3883 0.3883 0.3883
0.5582 0.5582 0.5582


Er6InAg (PBE, relaxed); space-group type = I4/mmm (139); E_form = -0.175 eV/atom; uncorrected energy = -4.2962 eV per atom; total magnetic moment = 0.00 μB per atom
1.0
-2.4985 2.4985 8.9417
2.4985 -2.4985 8.9417
2.4985 2.4985 -8.9417
Er In Ag
6 1 1
Direct
0.1120 0.6120 0.5000
0.2495 0.2495 0.0000
0.3880 0.8880 0.5000
0.6120 0.1120 0.5000
0.7505 0.7505 0.0000
0.8880 0.3880 0.5000
0.0000 0.0000 0.0000
0.5000 0.5000 0.0000